Entry 1:
A plane-wave DFT calculation with PBE-GGA was carried out for an optimized crystal structure of K4Ag2AsP.

Calculated values
Space group: No. 5
Mass density in Mg/m³: 3.33
V in A^3/atom: 29.809

Lattice parameters (Å, degrees): 6.351 6.351 6.086 90.04 90.04 76.25
Sites, in units of the cell vectors:
K 0.111 0.543 0.999
K 0.171 0.171 0.499
K 0.457 0.889 0.001
K 0.829 0.829 0.501
Ag 0.649 0.351 0.248
Ag 0.649 0.351 0.752
As 0.386 0.614 0.500
P 0.897 0.103 0.000



Entry 2:
A plane-wave DFT calculation with PBE-GGA was carried out for an optimized crystal structure of K4AgAs2Pd.

Calculated values
Space group: No. 12
Mass density in Mg/m³: 3.68
V in A^3/atom: 29.389

Lattice parameters (Å, degrees): 6.406 6.406 5.902 90.19 90.19 103.87
Sites, in units of the cell vectors:
K 0.022 0.678 0.754
K 0.322 0.978 0.246
K 0.678 0.022 0.754
K 0.978 0.322 0.246
Ag 0.500 0.500 0.500
As 0.241 0.241 0.760
As 0.759 0.759 0.240
Pd 0.500 0.500 0.000



Entry 3:
A plane-wave DFT calculation with PBE-GGA was carried out for an optimized crystal structure of K4AgAs2Pt.

Calculated values
Space group: No. 12
Total moment in μB per cell: 0.6
Mass density in Mg/m³: 4.33
V in A^3/atom: 29.199

Lattice parameters (Å, degrees): 6.393 6.393 5.890 90.62 90.62 103.95
Sites, in units of the cell vectors:
K 0.023 0.677 0.756
K 0.323 0.977 0.244
K 0.677 0.023 0.756
K 0.977 0.323 0.244
Ag 0.500 0.500 0.500
As 0.241 0.241 0.760
As 0.759 0.759 0.240
Pt 0.500 0.500 0.000



Entry 4:
A plane-wave DFT calculation with PBE-GGA was carried out for an optimized crystal structure of KRbAgAs.

Calculated values
Space group: No. 38
Mass density in Mg/m³: 3.93
V in A^3/atom: 32.447
E above lowest polymorph in eV per atom: 0.003

Lattice parameters (Å, degrees): 6.228 6.563 6.563 104.61 90.00 90.00
Sites, in units of the cell vectors:
K 0.000 0.171 0.829
K 0.000 0.829 0.171
Rb 0.500 0.537 0.880
Rb 0.500 0.880 0.537
Ag 0.249 0.351 0.351
Ag 0.751 0.351 0.351
As 0.000 0.605 0.605
As 0.500 0.097 0.097



Entry 5:
A plane-wave DFT calculation with PBE-GGA was carried out for an optimized crystal structure of KRbAgAs.

Calculated values
Space group: No. 11
Mass density in Mg/m³: 3.94
V in A^3/atom: 32.362
E above lowest polymorph in eV per atom: 0.000

Lattice parameters (Å, degrees): 6.477 6.212 6.642 90.00 104.34 90.00
Sites, in units of the cell vectors:
K 0.183 0.250 0.020
K 0.817 0.750 0.980
Rb 0.465 0.750 0.316
Rb 0.535 0.250 0.684
Ag 0.000 0.000 0.500
Ag 0.000 0.500 0.500
As 0.243 0.750 0.763
As 0.757 0.250 0.237



Entry 6:
A plane-wave DFT calculation with PBE-GGA was carried out for an optimized crystal structure of K2RbAg3As2.

Calculated values
Space group: No. 166
Mass density in Mg/m³: 4.58
V in A^3/atom: 28.889

Lattice parameters (Å, degrees): 8.012 8.012 8.012 44.66 44.66 44.66
Sites, in units of the cell vectors:
K 0.092 0.092 0.092
K 0.908 0.908 0.908
Rb 0.500 0.500 0.500
Ag 0.000 0.500 0.500
Ag 0.500 0.000 0.500
Ag 0.500 0.500 0.000
As 0.246 0.246 0.246
As 0.754 0.754 0.754



E values (in eV/atom) by entry order: -2.89, -3.10, -3.23, -2.77, -2.77, -3.00.